*a*
Entry from the Alexandria database: an optimized crystal structure of SbP2WI (PBE).

```
5
Lattice="-1.345 -1.255 -4.698 -0.505 -5.491 1.612 -4.842 0.790 1.175" Properties=species:S:1:pos:R:3 pbc="T T T"
I -0.252 -2.746 0.806
Sb 0.000 0.000 0.000
W -3.346 -2.978 -0.955
P -2.421 0.395 0.588
P -0.672 -0.628 -2.349
```

---

*b*
Entry from the Alexandria database: an optimized crystal structure of SbP2WI (PBE).

```
5
Lattice="4.660 0.000 0.000 0.000 5.794 0.000 0.000 0.000 4.660" Properties=species:S:1:pos:R:3 pbc="T T T"
I 0.000 2.897 0.000
Sb 2.330 2.897 2.330
W 0.000 0.000 0.000
P 0.000 0.000 2.330
P 2.330 0.000 0.000
```

---

Most stable = *b*

---

*a*
Entry from the Alexandria database: an optimized crystal structure of ZrSb2PI (PBE).

```
5
Lattice="5.641 0.000 0.000 0.000 5.641 0.000 0.000 0.000 5.590" Properties=species:S:1:pos:R:3 pbc="T T T"
I 0.000 0.000 2.795
Sb 0.000 2.820 0.000
Sb 2.820 0.000 0.000
Zr 0.000 0.000 0.000
P 2.820 2.820 2.795
```

---

*b*
Entry from the Alexandria database: an optimized crystal structure of ZrSb2PI (PBE).

```
5
Lattice="5.196 0.000 0.000 0.000 5.196 0.000 0.000 0.000 5.137" Properties=species:S:1:pos:R:3 pbc="T T T"
I 0.000 0.000 2.569
Sb 0.000 2.598 0.000
Sb 2.598 0.000 0.000
Zr 2.598 2.598 2.569
P 0.000 0.000 0.000
```

---

Most stable = *b*

---

*a*
Entry from the Alexandria database: an optimized crystal structure of ScP2I (PBE).

```
4
Lattice="0.000 3.439 3.439 3.439 0.000 3.439 3.439 3.439 0.000" Properties=species:S:1:pos:R:3 pbc="T T T"
I 3.439 3.439 3.439
Sc 0.000 0.000 0.000
P 1.720 1.720 1.720
P 5.159 5.159 5.159
```

---

*b*
Entry from the Alexandria database: an optimized crystal structure of ScP2I (PBE).

```
8
Lattice="4.553 0.000 0.000 0.000 4.553 0.000 2.277 2.277 9.685" Properties=species:S:1:pos:R:3 pbc="T T T"
I 0.000 0.000 0.000
I 4.553 2.277 4.843
Sc 2.277 2.277 0.000
Sc 2.277 4.553 4.843
P 2.278 1.138 2.421
P 2.275 3.415 2.421
P 3.415 4.552 7.264
P 5.692 4.554 7.264
```

---

Most stable = *b*